(1)
Here is a geometry-optimized Li6CoCu3P4O16 structure from the Alexandria database. Energies are from GGA-PBEsol.

a = 5.055 Å, b = 6.131 Å, c = 10.085 Å
α = 90.04°, β = 89.57°, γ = 90.06°
Last column: magnetic moment on the atom in μB.
Fractional positions:
1 Li 0.656 0.500 0.355  0.00
2 Li 0.657 0.000 0.356  0.00
3 O 0.235 0.750 0.562  0.02
4 Li 0.332 0.999 0.668  0.00
5 P 0.860 0.250 0.584  0.00
6 O 0.203 0.954 0.858  0.02
7 Li 0.332 0.501 0.668  0.00
8 O 0.751 0.250 0.953  0.01
9 P 0.169 0.749 0.411  0.01
10 Li 0.829 0.004 0.839  0.00
11 Cu 0.728 0.752 0.139  0.28
12 O 0.282 0.537 0.348  0.06
13 O 0.810 0.055 0.177  0.06
14 O 0.150 0.250 0.622  0.00
15 O 0.202 0.546 0.858  0.02
16 O 0.363 0.751 0.066  0.04
17 Co 0.129 0.247 0.277  2.62
18 P 0.681 0.251 0.102  0.00
19 O 0.715 0.050 0.647  0.02
20 O 0.284 0.959 0.347  0.06
21 O 0.633 0.750 0.854  0.01
22 O 0.860 0.750 0.399  0.03
23 Cu 0.777 0.750 0.611  0.25
24 Cu 0.242 0.250 0.927  0.23
25 O 0.824 0.250 0.431  0.04
26 O 0.809 0.450 0.175  0.06
27 O 0.376 0.250 0.119  0.08
28 O 0.715 0.449 0.648  0.02
29 P 0.352 0.750 0.915  0.00
30 Li 0.828 0.495 0.839  0.00

ΔE_f (raw): -1.876 eV/atom
D(E_F): 11.058 states/eV/f.u.
total moment: 4.05 μB per formula unit

---

(2)
Here is a geometry-optimized Li2CoCuP2O8 structure from the Alexandria database. Energies are from GGA-PBEsol.

a = 4.680 Å, b = 5.944 Å, c = 9.950 Å
α = 90.00°, β = 91.42°, γ = 90.00°
Last column: magnetic moment on the atom in μB.
Fractional positions:
1 Li 0.000 0.000 0.500  0.00
2 O 0.746 0.750 0.903  0.04
3 Co 0.982 0.750 0.219  2.71
4 O 0.202 0.539 0.833  0.10
5 Li 0.500 0.500 0.000  0.00
6 O 0.307 0.750 0.550  0.06
7 O 0.208 0.750 0.048  0.08
8 O 0.792 0.250 0.952  0.08
9 O 0.274 0.953 0.331  0.10
10 O 0.748 0.750 0.402  0.05
11 P 0.578 0.250 0.595  0.00
12 Cu 0.543 0.750 0.719  0.53
13 O 0.726 0.047 0.669  0.10
14 O 0.726 0.453 0.669  0.10
15 P 0.422 0.750 0.405  0.00
16 O 0.798 0.039 0.167  0.10
17 O 0.202 0.961 0.833  0.10
18 O 0.252 0.250 0.598  0.05
19 Cu 0.457 0.250 0.281  0.53
20 O 0.693 0.250 0.450  0.06
21 Li 0.500 0.000 0.000  0.00
22 P 0.926 0.250 0.096  0.01
23 O 0.798 0.461 0.167  0.10
24 O 0.254 0.250 0.097  0.04
25 O 0.274 0.547 0.331  0.10
26 Li 0.000 0.500 0.500  0.00
27 Co 0.018 0.250 0.781  2.71
28 P 0.074 0.750 0.904  0.01

ΔE_f (raw): -1.837 eV/atom
D(E_F): 5.291 states/eV/f.u.
total moment: 4.00 μB per formula unit

---

(3)
Here is a geometry-optimized Li5Co2Cu2P4O16 structure from the Alexandria database. Energies are from GGA-PBEsol.

a = 4.731 Å, b = 6.063 Å, c = 10.129 Å
α = 87.49°, β = 87.15°, γ = 88.05°
Last column: magnetic moment on the atom in μB.
Fractional positions:
1 Cu 0.056 0.273 0.295  0.38
2 P 0.416 0.758 0.905  0.01
3 O 0.241 0.547 0.342  0.08
4 Co 0.469 0.274 0.783  2.58
5 O 0.299 0.983 0.848  0.06
6 O 0.742 0.746 0.896  0.03
7 O 0.763 0.454 0.660  0.08
8 Li 0.906 0.032 0.874  0.00
9 O 0.190 0.774 0.542  0.04
10 Li 0.502 0.501 0.501  0.00
11 P 0.924 0.248 0.601  0.00
12 Li 0.001 0.501 0.001  0.00
13 Li 0.501 0.001 0.501  0.00
14 O 0.704 0.019 0.154  0.06
15 O 0.755 0.743 0.401  0.04
16 O 0.205 0.946 0.311  0.07
17 Co 0.534 0.728 0.219  2.58
18 Li 0.098 0.970 0.129  0.00
19 O 0.248 0.259 0.601  0.04
20 O 0.297 0.731 0.051  0.06
21 O 0.286 0.567 0.830  0.07
22 Cu 0.946 0.729 0.707  0.38
23 P 0.587 0.244 0.097  0.01
24 P 0.079 0.754 0.402  0.00
25 O 0.706 0.271 0.951  0.06
26 O 0.261 0.256 0.106  0.03
27 O 0.717 0.435 0.172  0.07
28 O 0.798 0.056 0.691  0.07
29 O 0.813 0.228 0.461  0.04

ΔE_f (raw): -1.851 eV/atom
D(E_F): 12.006 states/eV/f.u.
total moment: 7.00 μB per formula unit

---

(4)
Here is a geometry-optimized Li4Co3Cu3Te2O16 structure from the Alexandria database. Energies are from GGA-PBEsol.

a = 5.681 Å, b = 5.858 Å, c = 9.481 Å
α = 93.57°, β = 90.02°, γ = 118.97°
Last column: magnetic moment on the atom in μB.
Fractional positions:
1 O 0.158 0.315 0.603  -0.01
2 Co 0.341 0.174 0.713  0.09
3 O 0.845 0.195 0.090  0.01
4 O 0.456 0.472 0.354  0.00
5 O 0.012 0.025 0.291  -0.01
6 O 0.970 0.470 0.842  0.05
7 O 0.011 0.021 0.800  0.09
8 O 0.522 0.045 0.829  0.00
9 O 0.659 0.318 0.619  0.10
10 O 0.165 0.838 0.592  0.04
11 Te 0.677 0.354 0.984  0.00
12 O 0.016 0.473 0.353  0.00
13 O 0.323 0.645 0.121  -0.03
14 O 0.470 0.940 0.357  -0.01
15 Li 0.998 0.996 0.482  0.00
16 Cu 0.181 0.842 0.211  -0.06
17 Li 0.651 0.302 0.413  0.00
18 Li 0.336 0.672 0.910  0.00
19 Li 0.011 0.021 0.990  0.00
20 O 0.848 0.696 0.085  -0.01
21 Cu 0.834 0.668 0.713  0.53
22 O 0.499 0.470 0.843  0.05
23 Co 0.173 0.346 0.217  -0.03
24 Cu 0.662 0.842 0.211  -0.05
25 Co 0.833 0.174 0.713  0.09
26 O 0.350 0.195 0.090  0.00
27 O 0.674 0.838 0.593  0.04
28 Te 0.327 0.653 0.488  0.00

ΔE_f (raw): -1.185 eV/atom
D(E_F): 8.821 states/eV/f.u.
total moment: 0.92 μB per formula unit

---

The highest ΔE_f (raw) belongs to which entry? Li4Co3Cu3Te2O16

---

Which of these has the lowest D(E_F)? Li2CoCuP2O8